# 1
Here is a relaxed structure of AcHPd6 from Alexandria via LeMat-Bulk. Energies are from PBE.

extended XYZ file:
```
8
Lattice="2.834 1.636 4.906 -2.834 1.636 4.906 0.000 -3.273 4.906" Properties=species:S:1:pos:R:3 pbc="T T T"
Ac 0.000 0.000 0.000
H 0.000 0.000 7.359
Pd -1.454 -0.840 6.263
Pd 0.000 -1.679 8.456
Pd -1.454 0.840 8.456
Pd 1.454 -0.840 6.263
Pd 0.000 1.679 6.263
Pd 1.454 0.840 8.456
```

## Properties
space-group type = R-3m
calculated total energy = -5.130 eV/atom
magnetization = 0.00 μB/f.u.

***

# 2
Here is a relaxed structure of SmEuErMg from Alexandria via LeMat-Bulk. Energies are from PBE.

extended XYZ file:
```
4
Lattice="0.000 3.965 3.965 3.965 0.000 3.965 3.965 3.965 0.000" Properties=species:S:1:pos:R:3 pbc="T T T"
Sm 0.000 0.000 0.000
Eu 1.983 1.983 1.983
Er 3.965 3.965 3.965
Mg 5.948 5.948 5.948
```

## Properties
energy of formation = 77 meV per atom
space-group type = F-43m
calculated total energy = -5.211 eV/atom
magnetization = 7.10 μB/f.u.

***

# 3
Here is a relaxed structure of ScTcSe2 from Alexandria via LeMat-Bulk. Energies are from PBE.

extended XYZ file:
```
4
Lattice="1.648 0.951 9.074 -1.648 0.951 9.074 0.000 -1.903 9.074" Properties=species:S:1:pos:R:3 pbc="T T T"
Sc 0.000 0.000 0.000
Tc 0.000 0.000 6.828
Se 0.000 0.000 14.328
Se 0.000 0.000 20.036
```

## Properties
space-group type = R3m
calculated total energy = -6.383 eV/atom
magnetization = 0.00 μB/f.u.
offset from the most stable computed form = 0.2316 eV per atom
formation energy from raw total energies = -0.47 eV per atom

***

# 4
Here is a relaxed structure of Bi2PbBr from Alexandria via LeMat-Bulk. Energies are from PBE.

extended XYZ file:
```
8
Lattice="-3.840 3.840 5.997 3.840 -3.840 5.997 3.840 3.840 -5.997" Properties=species:S:1:pos:R:3 pbc="T T T"
Bi 5.760 1.854 -1.499
Bi 1.854 1.920 1.499
Bi -1.920 1.986 4.498
Bi 1.986 1.920 7.496
Pb 0.000 0.000 0.000
Pb 0.000 3.840 2.998
Br 3.840 0.000 2.998
Br 0.000 0.000 5.997
```

## Properties
space-group type = I-42d
calculated total energy = -3.078 eV/atom
magnetization = 0.00 μB/f.u.
offset from the most stable computed form = 0.1714 eV per atom
formation energy from raw total energies = 0.21 eV per atom

***

# 5
Here is a relaxed structure of CdHg2F4 from Alexandria via LeMat-Bulk. Energies are from PBE.

extended XYZ file:
```
7
Lattice="7.058 -1.756 0.000 7.058 1.756 0.000 -1.245 0.000 5.075" Properties=species:S:1:pos:R:3 pbc="T T T"
Cd 0.000 0.000 0.000
Hg 3.753 0.000 1.862
Hg 9.119 0.000 3.213
F 1.007 0.000 4.487
F 5.444 0.000 3.706
F 7.427 0.000 1.369
F 11.865 0.000 0.589
```

## Properties
space-group type = C2/m
calculated total energy = -2.847 eV/atom
magnetization = 0.00 μB/f.u.
offset from the most stable computed form = 0.0000 eV per atom
formation energy from raw total energies = -1.56 eV per atom

***

# 6
Here is a relaxed structure of Ho5ErTm2 from Alexandria via LeMat-Bulk. Energies are from PBE.

extended XYZ file:
```
16
Lattice="7.007 0.000 0.000 0.000 14.013 0.000 0.000 0.000 4.950" Properties=species:S:1:pos:R:3 pbc="T T T"
Ho 0.000 0.000 0.000
Ho 7.004 3.505 0.000
Ho 0.003 10.508 0.000
Ho 1.750 1.750 2.475
Ho 1.753 8.757 2.475
Ho 3.501 3.502 0.000
Ho 3.503 7.006 0.000
Ho 3.506 10.511 0.000
Ho 5.254 5.256 2.475
Ho 5.257 12.263 2.475
Er 0.000 7.006 0.000
Er 3.503 0.000 0.000
Tm 1.750 5.256 2.475
Tm 1.754 12.262 2.475
Tm 5.253 1.751 2.475
Tm 5.257 8.757 2.475
```

## Properties
energy of formation = 19 meV per atom
space-group type = Pbam
calculated total energy = -4.530 eV/atom
magnetization = 0.00 μB/f.u.
offset from the most stable computed form = 0.0000 eV per atom

***

Repeat the first record exactly.
Here is a relaxed structure of AcHPd6 from Alexandria via LeMat-Bulk. Energies are from PBE.

extended XYZ file:
```
8
Lattice="2.834 1.636 4.906 -2.834 1.636 4.906 0.000 -3.273 4.906" Properties=species:S:1:pos:R:3 pbc="T T T"
Ac 0.000 0.000 0.000
H 0.000 0.000 7.359
Pd -1.454 -0.840 6.263
Pd 0.000 -1.679 8.456
Pd -1.454 0.840 8.456
Pd 1.454 -0.840 6.263
Pd 0.000 1.679 6.263
Pd 1.454 0.840 8.456
```

## Properties
space-group type = R-3m
calculated total energy = -5.130 eV/atom
magnetization = 0.00 μB/f.u.

***

> Which value of magnetization does entry 4 give?

0.00 μB/f.u.

***

> What is the calculated total energy in the first record?

-5.130 eV/atom